[1]
Here is an optimized crystal structure of RbLi2MoC from Alexandria. Energies are from GGA-PBE.

Properties
Formation energy from the elements in kJ per mole of atoms: 73
SG: P4/mmm

Unit cell a=4.8981 b=4.1383 c=4.8981 alpha=90.00 beta=90.00 gamma=90.00
Fractional positions:
Mo: 0.0000 0.5000 0.0000
C: 0.0000 0.0000 0.0000
Rb: 0.5000 0.5000 0.5000
Li: 0.0000 0.0000 0.5000
Li: 0.5000 0.0000 0.0000

***

[2]
Here is an optimized crystal structure of LiSc2MoC from Alexandria. Energies are from GGA-PBE.

Properties
Formation energy from the elements in kJ per mole of atoms: -4
SG: P4/mmm

Unit cell a=4.5717 b=4.5717 c=4.1272 alpha=90.00 beta=90.00 gamma=90.00
Fractional positions:
Sc: 0.0000 0.5000 0.0000
Sc: 0.5000 0.0000 0.0000
Mo: 0.0000 0.0000 0.5000
C: 0.0000 0.0000 0.0000
Li: 0.5000 0.5000 0.5000

***

[3]
Here is an optimized crystal structure of Li2SnMoC from Alexandria. Energies are from GGA-PBE.

Properties
Formation energy from the elements in kJ per mole of atoms: 91
SG: P4/mmm

Unit cell a=4.0539 b=4.7180 c=4.0539 alpha=90.00 beta=90.00 gamma=90.00
Fractional positions:
C: 0.0000 0.0000 0.0000
Mo: 0.5000 0.5000 0.5000
Sn: 0.0000 0.5000 0.0000
Li: 0.0000 0.0000 0.5000
Li: 0.5000 0.0000 0.0000

***

[4]
Here is an optimized crystal structure of SrLi2MoC from Alexandria. Energies are from GGA-PBE.

Properties
Formation energy from the elements in kJ per mole of atoms: 276
SG: P4/mmm

Unit cell a=4.7081 b=4.9002 c=4.7081 alpha=90.00 beta=90.00 gamma=90.00
Fractional positions:
Sr: 0.0000 0.0000 0.0000
Mo: 0.0000 0.5000 0.0000
C: 0.5000 0.5000 0.5000
Li: 0.0000 0.0000 0.5000
Li: 0.5000 0.0000 0.0000

***

[5]
Here is an optimized crystal structure of Li2TeMoC from Alexandria. Energies are from GGA-PBE.

Properties
E_form (uncorrected) in eV per atom: 1.65
SG: P4/mmm

Unit cell a=4.9537 b=4.5119 c=4.9537 alpha=90.00 beta=90.00 gamma=90.00
Fractional positions:
Mo: 0.5000 0.5000 0.5000
Te: 0.0000 0.0000 0.0000
C: 0.0000 0.5000 0.0000
Li: 0.0000 0.0000 0.5000
Li: 0.5000 0.0000 0.0000

***

[6]
Here is an optimized crystal structure of LiTiMoC2 from Alexandria. Energies are from GGA-PBE.

Properties
Formation energy from the elements in kJ per mole of atoms: 146
SG: P4/mmm

Unit cell a=4.1717 b=4.1717 c=4.7336 alpha=90.00 beta=90.00 gamma=90.00
Fractional positions:
Mo: 0.0000 0.0000 0.0000
Li: 0.5000 0.5000 0.5000
C: 0.0000 0.5000 0.0000
C: 0.5000 0.0000 0.0000
Ti: 0.0000 0.0000 0.5000

***

Number 1: mass density 3.47 g/cm3, DOS at the Fermi energy 2.918 states/eV/f.u.. Number 2: mass density 3.94 g/cm3, DOS at the Fermi energy 5.607 states/eV/f.u.. Number 3: mass density 5.15 g/cm3, DOS at the Fermi energy 4.114 states/eV/f.u.. Number 4: mass density 3.20 g/cm3, DOS at the Fermi energy 2.854 states/eV/f.u.. Number 5: mass density 3.74 g/cm3, DOS at the Fermi energy 2.523 states/eV/f.u.. Number 6: mass density 3.52 g/cm3, DOS at the Fermi energy 4.151 states/eV/f.u..